[1]
# LaFeCoP2 PBE relaxed
data_LaFeCoP2
_cell_length_a 4.444
_cell_length_b 4.444
_cell_length_c 4.502
_cell_angle_alpha 90.00
_cell_angle_beta 90.00
_cell_angle_gamma 90.00
_space_group_name_H-M_alt 'P 4/m m m'
_space_group_IT_number 123
_space_group_name_Hall '-P 4 2'
loop_
_atom_site_label
_atom_site_fract_x
_atom_site_fract_y
_atom_site_fract_z
La1 0.000 0.000 0.000
Fe1 0.500 0.500 0.500
Co1 0.500 0.500 0.000
P1 0.000 0.500 0.500
# Density of states at the Fermi level ... 3.883 states/eV per cell
# Energy above the lowest structure with this stoichiometry ... 768 meV per atom
# Energy ... -32.53 eV/f.u.
# E_form ... -0.24 eV per atom


[2]
# LaFeCoP2 PBE relaxed
data_LaFeCoP2
_cell_length_a 3.749
_cell_length_b 3.749
_cell_length_c 11.329
_cell_angle_alpha 90.00
_cell_angle_beta 90.00
_cell_angle_gamma 90.00
_space_group_name_H-M_alt 'I -4 m 2'
_space_group_IT_number 119
_space_group_name_Hall 'I -4 -2'
loop_
_atom_site_label
_atom_site_fract_x
_atom_site_fract_y
_atom_site_fract_z
La1 0.000 0.000 0.000
Fe1 0.000 0.500 0.750
Co1 0.000 0.500 0.250
P1 0.000 0.000 0.353
# Density of states at the Fermi level ... 5.434 states/eV per cell
# Energy above the lowest structure with this stoichiometry ... 0 meV per atom
# Energy ... -36.37 eV/f.u.
# E_form ... -1.01 eV per atom


[3]
# La6FeCoPb2 PBE relaxed
data_La6FeCoPb2
_cell_length_a 7.523
_cell_length_b 7.523
_cell_length_c 10.565
_cell_angle_alpha 90.00
_cell_angle_beta 90.00
_cell_angle_gamma 90.00
_space_group_name_H-M_alt 'I 4/m m m'
_space_group_IT_number 139
_space_group_name_Hall '-I 4 2'
loop_
_atom_site_label
_atom_site_fract_x
_atom_site_fract_y
_atom_site_fract_z
La1 0.000 0.000 0.247
La2 0.249 0.249 0.000
Fe1 0.000 0.000 0.000
Co1 0.000 0.000 0.500
Pb1 0.000 0.500 0.250
# Density of states at the Fermi level ... 12.139 states/eV per cell
# Energy ... -56.18 eV/f.u.
# E_form ... -0.36 eV per atom


[4]
# LaFe2CoRh PBE relaxed
data_LaFe2CoRh
_cell_length_a 4.463
_cell_length_b 4.463
_cell_length_c 4.440
_cell_angle_alpha 90.00
_cell_angle_beta 90.00
_cell_angle_gamma 90.00
_space_group_name_H-M_alt 'P 4/m m m'
_space_group_IT_number 123
_space_group_name_Hall '-P 4 2'
loop_
_atom_site_label
_atom_site_fract_x
_atom_site_fract_y
_atom_site_fract_z
La1 0.000 0.000 0.000
Fe1 0.000 0.500 0.000
Co1 0.000 0.000 0.500
Rh1 0.500 0.500 0.500
# Density of states at the Fermi level ... 5.942 states/eV per cell
# Energy ... -27.79 eV/f.u.
# E_form ... 1.70 eV per atom


[5]
# LaFe2CoSb PBE relaxed
data_LaFe2CoSb
_cell_length_a 4.478
_cell_length_b 4.478
_cell_length_c 5.027
_cell_angle_alpha 90.00
_cell_angle_beta 90.00
_cell_angle_gamma 90.00
_space_group_name_H-M_alt 'P 4/m m m'
_space_group_IT_number 123
_space_group_name_Hall '-P 4 2'
loop_
_atom_site_label
_atom_site_fract_x
_atom_site_fract_y
_atom_site_fract_z
La1 0.000 0.000 0.000
Fe1 0.000 0.500 0.500
Co1 0.000 0.000 0.500
Sb1 0.500 0.500 0.000
# Density of states at the Fermi level ... 11.148 states/eV per cell
# Energy ... -29.44 eV/f.u.
# Formation energy from raw total energies ... 0.73 eV per atom


[6]
# LaFeCoSi2 PBE relaxed
data_LaFeCoSi2
_cell_length_a 4.010
_cell_length_b 4.010
_cell_length_c 10.062
_cell_angle_alpha 90.00
_cell_angle_beta 90.00
_cell_angle_gamma 90.00
_space_group_name_H-M_alt 'I -4 m 2'
_space_group_IT_number 119
_space_group_name_Hall 'I -4 -2'
loop_
_atom_site_label
_atom_site_fract_x
_atom_site_fract_y
_atom_site_fract_z
La1 0.000 0.000 0.000
Fe1 0.000 0.500 0.250
Co1 0.000 0.500 0.750
Si1 0.000 0.000 0.360
# Density of states at the Fermi level ... 7.083 states/eV per cell
# Energy ... -34.77 eV/f.u.
# Formation energy from raw total energies ... -0.69 eV per atom